No. 1
DFT (GGA-PBE) results for PmSm6Tm after structural relaxation.

Cell: 5.1097 5.1097 10.2063 Å, 90.00 90.00 90.00°
Closest atoms and distances in Å follow each position.
Sites, in units of the cell vectors:
Sm 0.5000 0.0000 0.2525  2 Tm 3.59, 8 Sm 3.59-3.63, 2 Pm 3.63
Sm 0.5000 0.5000 0.0000  4 Pm 3.61, 8 Sm 3.63
Sm 0.5000 0.5000 0.5000  8 Sm 3.59, 4 Tm 3.61
Sm 0.0000 0.5000 0.2525  2 Tm 3.59, 8 Sm 3.59-3.63, 2 Pm 3.63
Sm 0.0000 0.5000 0.7475  8 Sm 3.59-3.63, 2 Tm 3.59, 2 Pm 3.63
Sm 0.5000 0.0000 0.7475  8 Sm 3.59-3.63, 2 Tm 3.59, 2 Pm 3.63
Tm 0.0000 0.0000 0.5000  12 Sm 3.59-3.61
Pm 0.0000 0.0000 0.0000  12 Sm 3.61-3.63

The calculation puts the excess energy over the best structure of this formula in the dataset at 0.000 eV per atom. As for the space group: P4/mmm. As for the energy of formation from the pure elements: 0.2 eV per formula unit. Its crystal system is tetragonal. The value obtained for the total magnetization is 0.000 Bohr magnetons per cell.

***

No. 2
DFT (GGA-PBE) results for Ca3Os after structural relaxation.

Cell: 6.0323 8.1138 9.1596 Å, 90.00 90.00 90.00°
Closest atoms and distances in Å follow each position.
Sites, in units of the cell vectors:
Os 0.4380 0.1293 0.2500  8 Ca 2.94-3.13
Os 0.0620 0.6293 0.2500  8 Ca 2.94-3.13
Os 0.9380 0.3707 0.7500  8 Ca 2.94-3.13
Os 0.5620 0.8707 0.7500  8 Ca 2.94-3.13
Ca 0.3905 0.5314 0.7500  2 Os 2.94-3.02
Ca 0.6355 0.1668 0.9362  3 Os 2.98-3.13
Ca 0.6355 0.1668 0.5638  3 Os 2.98-3.13
Ca 0.3645 0.8332 0.0638  3 Os 2.98-3.13
Ca 0.6095 0.4686 0.2500  2 Os 2.94-3.02
Ca 0.3645 0.8332 0.4362  3 Os 2.98-3.13
Ca 0.8645 0.6668 0.5638  3 Os 2.98-3.13
Ca 0.8645 0.6668 0.9362  3 Os 2.98-3.13
Ca 0.1355 0.3332 0.0638  3 Os 2.98-3.13
Ca 0.1095 0.0314 0.7500  2 Os 2.94-3.02
Ca 0.1355 0.3332 0.4362  3 Os 2.98-3.13
Ca 0.8905 0.9686 0.2500  2 Os 2.94-3.02

As for the space group: Pnma. As for the energy of formation from the pure elements: 0.8 eV per formula unit. Its crystal system is orthorhombic. The value obtained for the total magnetization is 0.000 Bohr magnetons per cell.

***

No. 3
DFT (GGA-PBE) results for TbSm3As4 after structural relaxation.

Cell: 5.9315 5.9315 5.9315 Å, 90.00 90.00 90.00°
Closest atoms and distances in Å follow each position.
Sites, in units of the cell vectors:
Sm 0.0000 0.5000 0.5000  6 As 2.97
Sm 0.5000 0.5000 0.0000  6 As 2.97
Sm 0.5000 0.0000 0.5000  6 As 2.97
As 0.0000 0.0000 0.5000  2 Tb 2.97, 4 Sm 2.97
As 0.5000 0.0000 0.0000  2 Tb 2.97, 4 Sm 2.97
As 0.0000 0.5000 0.0000  2 Tb 2.97, 4 Sm 2.97
As 0.5000 0.5000 0.5000  6 Sm 2.97
Tb 0.0000 0.0000 0.0000  6 As 2.97

As for the space group: Pm-3m. As for the energy of formation from the pure elements: -12.3 eV per formula unit. Its crystal system is cubic. The value obtained for the total magnetization is 0.000 Bohr magnetons per cell.

***

No. 4
DFT (GGA-PBE) results for LaGdHoAg after structural relaxation.

Cell: 5.4863 5.4863 5.4863 Å, 60.00 60.00 60.00°
Closest atoms and distances in Å follow each position.
Sites, in units of the cell vectors:
Ho 0.0000 0.0000 0.0000  4 La 3.36, 4 Gd 3.36
Gd 0.7500 0.7500 0.7500  4 Ho 3.36, 4 Ag 3.36
La 0.2500 0.2500 0.2500  4 Ho 3.36, 4 Ag 3.36
Ag 0.5000 0.5000 0.5000  4 Gd 3.36, 4 La 3.36

As for the space group: F-43m. As for the energy of formation from the pure elements: 0.2 eV per formula unit. Its crystal system is cubic. The value obtained for the total magnetization is 7.596 Bohr magnetons per cell.

***

No. 5
DFT (GGA-PBE) results for CaFeSb2Te after structural relaxation.

Cell: 5.7058 5.7058 5.6854 Å, 90.00 90.00 90.00°
Closest atoms and distances in Å follow each position.
Sites, in units of the cell vectors:
Ca 0.0000 0.0000 0.0000  2 Te 2.84, 4 Sb 2.85
Sb 0.0000 0.5000 0.0000  2 Ca 2.85
Sb 0.5000 0.0000 0.0000  2 Ca 2.85
Fe 0.5000 0.5000 0.5000  8 Sb 4.03, 4 Te 4.03
Te 0.0000 0.0000 0.5000  2 Ca 2.84

The formation energy (no corrections) is 1.024 eV per atom. The calculation puts the excess energy over the best structure of this formula in the dataset at 1.144 eV per atom. As for the space group: P4/mmm. Its crystal system is tetragonal. The value obtained for the total magnetization is 3.250 Bohr magnetons per cell.

***

No. 6
DFT (GGA-PBE) results for Mg7Cd2Au after structural relaxation.

Cell: 8.2775 8.7533 7.9257 Å, 71.58 58.52 61.78°
Closest atoms and distances in Å follow each position.
Sites, in units of the cell vectors:
Mg 0.9293 0.0598 0.3489  1 Au 2.77, 2 Mg 2.90-2.95, 1 Cd 2.92
Mg 0.4145 0.1946 0.5341  1 Au 2.79, 2 Cd 3.02-3.12, 2 Mg 3.12
Mg 0.6620 0.5598 0.8489  1 Au 2.77, 2 Mg 2.90-2.95, 1 Cd 2.92
Mg 0.3598 0.7500 0.2500  2 Cd 2.87, 1 Au 2.97, 6 Mg 3.06-3.20
Mg 0.2413 0.9192 0.9082  2 Au 2.85-2.97, 3 Mg 2.95-3.16, 2 Cd 2.99-3.18
Mg 0.8567 0.6946 0.0341  1 Au 2.79, 2 Cd 3.02-3.12, 2 Mg 3.12
Mg 0.6402 0.2500 0.7500  2 Cd 2.87, 1 Au 2.97, 6 Mg 3.06-3.20
Mg 0.0707 0.9402 0.6511  1 Au 2.77, 2 Mg 2.90-2.95, 1 Cd 2.92
Mg 0.3380 0.4402 0.1511  1 Au 2.77, 2 Mg 2.90-2.95, 1 Cd 2.92
Mg 0.9313 0.4192 0.4082  2 Au 2.85-2.97, 3 Mg 2.95-3.16, 2 Cd 2.99-3.18
Mg 0.5855 0.8054 0.4659  1 Au 2.79, 2 Cd 3.02-3.12, 2 Mg 3.12
Mg 0.1433 0.3054 0.9659  1 Au 2.79, 2 Cd 3.02-3.12, 2 Mg 3.12
Mg 0.7587 0.0808 0.0918  2 Au 2.85-2.97, 3 Mg 2.95-3.16, 2 Cd 2.99-3.18
Mg 0.0687 0.5808 0.5918  2 Au 2.85-2.97, 3 Mg 2.95-3.16, 2 Cd 2.99-3.18
Cd 0.6682 0.4116 0.2620  9 Mg 2.87-3.18
Cd 0.6582 0.9116 0.7620  9 Mg 2.87-3.18
Cd 0.3418 0.0884 0.2380  9 Mg 2.87-3.18
Cd 0.3318 0.5884 0.7380  9 Mg 2.87-3.18
Au 0.0012 0.7500 0.2500  9 Mg 2.77-2.97
Au 0.9988 0.2500 0.7500  9 Mg 2.77-2.97

As for the space group: C2/c. As for the energy of formation from the pure elements: -1.9 eV per formula unit. Its crystal system is monoclinic. The value obtained for the total magnetization is 0.000 Bohr magnetons per cell.

***

No. 7
DFT (GGA-PBE) results for SmYMnHg after structural relaxation.

Cell: 5.2087 5.2087 5.2087 Å, 60.00 60.00 60.00°
Closest atoms and distances in Å follow each position.
Sites, in units of the cell vectors:
Hg 0.5000 0.5000 0.5000  4 Sm 3.19, 4 Y 3.19
Sm 0.7500 0.7500 0.7500  4 Hg 3.19, 4 Mn 3.19
Mn 0.0000 0.0000 0.0000  4 Y 3.19, 4 Sm 3.19
Y 0.2500 0.2500 0.2500  4 Hg 3.19, 4 Mn 3.19

As for the space group: F-43m. As for the energy of formation from the pure elements: -0.3 eV per formula unit. Its crystal system is cubic. The value obtained for the total magnetization is 3.062 Bohr magnetons per cell.

***

No. 8
DFT (GGA-PBE) results for TaSiH2 after structural relaxation.

Cell: 3.7550 3.7550 3.7550 Å, 60.00 60.00 60.00°
Closest atoms and distances in Å follow each position.
Sites, in units of the cell vectors:
H 0.7500 0.7500 0.7500  4 Ta 2.30, 4 Si 2.30
H 0.2500 0.2500 0.2500  4 Ta 2.30, 4 Si 2.30
Ta 0.5000 0.5000 0.5000  8 H 2.30
Si 0.0000 0.0000 0.0000  8 H 2.30

The calculation puts the excess energy over the best structure of this formula in the dataset at 0.234 eV per atom. As for the space group: Fm-3m. Its crystal system is cubic. The value obtained for the total magnetization is 0.000 Bohr magnetons per cell.